# BaScCl4, relaxed, DFT PBEsol
data_BaScCl4
_chemical_formula_sum 'Ba4 Sc4 Cl16'
_symmetry_space_group_name_H-M 'F -4 3 m'
_symmetry_Int_Tables_number 216
_symmetry_space_group_name_Hall 'F -4 2 3'
_cell_length_a 8.424
_cell_length_b 8.424
_cell_length_c 8.424
_cell_angle_alpha 90.00
_cell_angle_beta 90.00
_cell_angle_gamma 90.00
loop_
_atom_site_label
_atom_site_type_symbol
_atom_site_fract_x
_atom_site_fract_y
_atom_site_fract_z
Ba1 Ba 0.000 0.000 0.000
Sc1 Sc 0.250 0.250 0.750
Cl1 Cl 0.125 0.125 0.375
# VASP energy: -20.69 eV per formula unit
# mass density: 3.6 g cm⁻³